# Co3ReF GGA-PBEsol optimized geometry
# - formation energy (no corrections) (eV/atom) = 0.71
# - total moment (Bohr magnetons per cell) = 6.2
# - uncorrected energy (eV/cell) = -34.93
data_Co3ReF
_chemical_formula_sum 'Co3 Re1 F1'
_cell_length_a 3.868
_cell_length_b 3.868
_cell_length_c 3.868
_cell_angle_alpha 90.00
_cell_angle_beta 90.00
_cell_angle_gamma 90.00
_symmetry_space_group_name_H-M 'P m -3 m'
_symmetry_Int_Tables_number 221
_symmetry_space_group_name_Hall '-P 4 2 3'
loop_
_atom_site_label
_atom_site_fract_x
_atom_site_fract_y
_atom_site_fract_z
Co1 0.000 0.000 0.500
Re1 0.500 0.500 0.500
F1 0.000 0.000 0.000